## w
# TmMg2Cd5 (PBE-GGA, relaxed)
# space group: I4/mmm, No. 139
# D(E_F): 0.45 states/eV/atom
# calculated volume: 181.1 Å³/cell
data_TmMg2Cd5
_symmetry_space_group_name_H-M 'P 1'
_symmetry_Int_Tables_number 1
_symmetry_space_group_name_Hall 'P 1'
_cell_length_a 4.513
_cell_length_b 4.513
_cell_length_c 9.448
_cell_angle_alpha 103.82
_cell_angle_beta 103.82
_cell_angle_gamma 90.00
loop_
_atom_site_label
_atom_site_fract_x
_atom_site_fract_y
_atom_site_fract_z
_atom_site_occupancy
Tm1 0.000 0.000 0.000 1
Cd1 0.370 0.870 0.740 1
Cd2 0.130 0.630 0.260 1
Cd3 0.500 0.500 0.000 1
Cd4 0.870 0.370 0.740 1
Cd5 0.630 0.130 0.260 1
Mg1 0.754 0.754 0.508 1
Mg2 0.246 0.246 0.492 1



## x
# TmMg2Cd5 (PBE-GGA, relaxed)
# space group: I4/mcm, No. 140
# D(E_F): 0.41 states/eV/atom
# calculated volume: 378.7 Å³/cell
data_TmMg2Cd5
_symmetry_space_group_name_H-M 'P 1'
_symmetry_Int_Tables_number 1
_symmetry_space_group_name_Hall 'P 1'
_cell_length_a 7.867
_cell_length_b 7.867
_cell_length_c 8.269
_cell_angle_alpha 118.41
_cell_angle_beta 118.41
_cell_angle_gamma 90.00
loop_
_atom_site_label
_atom_site_fract_x
_atom_site_fract_y
_atom_site_fract_z
_atom_site_occupancy
Cd1 0.193 0.984 0.677 1
Cd2 0.984 0.484 0.677 1
Cd3 0.516 0.307 0.323 1
Cd4 0.484 0.693 0.677 1
Cd5 0.307 0.807 0.323 1
Cd6 0.500 0.500 0.000 1
Cd7 0.807 0.016 0.323 1
Cd8 0.693 0.193 0.677 1
Cd9 0.016 0.516 0.323 1
Cd10 0.000 0.000 0.000 1
Tm1 0.750 0.750 0.500 1
Tm2 0.250 0.250 0.500 1
Mg1 0.849 0.651 0.000 1
Mg2 0.349 0.849 0.000 1
Mg3 0.151 0.349 0.000 1
Mg4 0.651 0.151 0.000 1



Out of the structures above, which one is the most stable? Solution: w.